VASP calculation (PBE) on NaLi2HgH after structural relaxation.

Properties
**Uncorrected energy**: -9.68 eV/cell
**DOS at the Fermi energy**: 0.44 states/eV/atom

Cell and atoms, written as CIF:
```
data_NaLi2HgH
_cell_length_a 4.2707
_cell_length_b 4.2707
_cell_length_c 4.5651
_cell_angle_alpha 90.00
_cell_angle_beta 90.00
_cell_angle_gamma 90.00
_space_group_name_H-M_alt 'P 1'
_space_group_IT_number 1
loop_
_space_group_symop_operation_xyz
'x,y,z'
loop_
_atom_site_label
_atom_site_type_symbol
_atom_site_fract_x
_atom_site_fract_y
_atom_site_fract_z
Na1 Na 0.0000 0.0000 0.0000
Li1 Li 0.0000 0.5000 0.5000
Li2 Li 0.5000 0.0000 0.5000
Hg1 Hg 0.5000 0.5000 0.0000
H1 H 0.0000 0.0000 0.5000
```

VASP calculation (PBE) on Na2LiHgH after structural relaxation.

Properties
**Uncorrected energy**: -8.90 eV/cell
**DOS at the Fermi energy**: 0.41 states/eV/atom

Cell and atoms, written as CIF:
```
data_Na2LiHgH
_cell_length_a 4.8564
_cell_length_b 4.8564
_cell_length_c 4.1120
_cell_angle_alpha 90.00
_cell_angle_beta 90.00
_cell_angle_gamma 90.00
_space_group_name_H-M_alt 'P 1'
_space_group_IT_number 1
loop_
_space_group_symop_operation_xyz
'x,y,z'
loop_
_atom_site_label
_atom_site_type_symbol
_atom_site_fract_x
_atom_site_fract_y
_atom_site_fract_z
Na1 Na 0.0000 0.5000 0.0000
Na2 Na 0.5000 0.0000 0.0000
Li1 Li 0.0000 0.0000 0.5000
Hg1 Hg 0.5000 0.5000 0.5000
H1 H 0.0000 0.0000 0.0000
```

VASP calculation (PBE) on Li2NiHgH after structural relaxation.

Properties
**Uncorrected energy**: -14.35 eV/cell
**DOS at the Fermi energy**: 0.47 states/eV/atom

Cell and atoms, written as CIF:
```
data_Li2NiHgH
_cell_length_a 4.0475
_cell_length_b 4.0475
_cell_length_c 3.5971
_cell_angle_alpha 90.00
_cell_angle_beta 90.00
_cell_angle_gamma 90.00
_space_group_name_H-M_alt 'P 1'
_space_group_IT_number 1
loop_
_space_group_symop_operation_xyz
'x,y,z'
loop_
_atom_site_label
_atom_site_type_symbol
_atom_site_fract_x
_atom_site_fract_y
_atom_site_fract_z
Li1 Li 0.0000 0.5000 0.0000
Li2 Li 0.5000 0.0000 0.0000
Ni1 Ni 0.0000 0.0000 0.5000
Hg1 Hg 0.5000 0.5000 0.5000
H1 H 0.0000 0.0000 0.0000
```